1.
VASP calculation (PBE) on crystalline TlSi2Ir at its relaxed geometry.

The relative energy among the computed polymorphs is 19.0 kJ/mol of atoms. The size of the total moment comes out at 0.0000 μB/atom. Its formation energy without anion corrections is 0.1310 eV/atom.

The space group is Pmm2 (No. 25) and the conventional cell measures 2.944, 3.361 and 7.676 Å, with angles of 90.00, 90.00 and 90.00 degrees. The inequivalent atoms are Tl at (0.000, 0.000, 0.000), Si at (0.000, 0.000, 0.449), Si at (0.500, 0.500, 0.645) and Ir at (0.500, 0.500, 0.315).

---

2.
VASP calculation (PBE) on crystalline TlSi2Ir at its relaxed geometry.

The relative energy among the computed polymorphs is 59.0 kJ/mol of atoms. The size of the total moment comes out at 0.0000 μB/atom. Its formation energy without anion corrections is 0.5454 eV/atom.

The space group is I4/mmm (No. 139) and the conventional cell measures 4.974, 4.974 and 5.623 Å, with angles of 90.00, 90.00 and 90.00 degrees. The inequivalent atoms are Tl at (0.000, 0.000, 0.000), Si at (0.000, 0.500, 0.250) and Ir at (0.000, 0.000, 0.500).

---

3.
VASP calculation (PBE) on crystalline TlSi2Ir at its relaxed geometry.

The relative energy among the computed polymorphs is 30.7 kJ/mol of atoms. The size of the total moment comes out at 0.0000 μB/atom. Its formation energy without anion corrections is 0.2520 eV/atom.

The space group is R3m (No. 160, hexagonal axes) and the conventional cell measures 3.1732, 3.1732 and 24.5858 Å, with angles of 90.00, 90.00 and 120.00 degrees. The inequivalent atoms are Tl at (0.0000, 0.0000, 0.0000), Si at (0.0000, 0.0000, 0.2344), Si at (0.0000, 0.0000, 0.4942) and Ir at (0.0000, 0.0000, 0.7645).

---

4.
VASP calculation (PBE) on crystalline TlSi2Ir at its relaxed geometry.

The relative energy among the computed polymorphs is 0.8 kJ/mol of atoms. The size of the total moment comes out at 0.0000 μB/atom. Its formation energy without anion corrections is -0.0578 eV/atom.

The space group is Cm (No. 8) and the conventional cell measures 6.877, 3.973 and 6.870 Å, with angles of 90.00, 108.56 and 90.00 degrees. The inequivalent atoms are Tl at (0.000, 0.000, 0.000), Si at (0.036, 0.500, 0.624), Si at (0.293, 0.500, 0.387) and Ir at (0.167, 0.000, 0.515).

---

5.
VASP calculation (PBE) on crystalline Tl2SiIr at its relaxed geometry.

The size of the total moment comes out at 0.0000 μB/atom. Its formation energy without anion corrections is 0.0030 eV/atom.

The space group is Cm (No. 8) and the conventional cell measures 6.769, 3.852 and 7.757 Å, with angles of 90.00, 105.64 and 90.00 degrees. The inequivalent atoms are Tl at (0.000, 0.000, 0.000), Tl at (0.211, 0.000, 0.644), Si at (0.262, 0.500, 0.293) and Ir at (0.455, 0.000, 0.374).

---

6.
VASP calculation (PBE) on crystalline TlSi2Ir at its relaxed geometry.

The relative energy among the computed polymorphs is 48.1 kJ/mol of atoms. The size of the total moment comes out at 0.0000 μB/atom. Its formation energy without anion corrections is 0.4322 eV/atom.

The space group is Imm2 (No. 44) and the conventional cell measures 3.522, 5.178 and 7.996 Å, with angles of 90.00, 90.00 and 90.00 degrees. The inequivalent atoms are Tl at (0.000, 0.000, 0.000), Si at (0.000, 0.000, 0.513), Si at (0.000, 0.500, 0.787) and Ir at (0.000, 0.500, 0.206).

---

Q: What is the size of the total moment in the fourth record?
A: 0.0000 μB/atom

---

Q: Which formula does entry 3 have?
A: TlSi2Ir